Entry 1:
Material: Ag2AsRu
Method: DFT, SCAN
State: single point on PBEsol structure

Computed properties:
formation energy = 0.3487 eV per atom

Cell: 2.975 4.294 5.619 Å, 111.94 104.63 91.82°
Element x y z (fractional)
As  0.500  0.000  0.000
Ag  0.000  0.000  0.500
Ru  0.000  0.500  0.000
Ag  0.500  0.500  0.500

Entry 2:
Material: KAs4ClO6
Method: DFT, SCAN
State: single point on PBEsol structure

Computed properties:
formation energy from raw total energies = -17.43 eV per formula unit

Cell: 5.263 5.263 8.895 Å, 90.00 90.00 120.00°
Element x y z (fractional)
O  0.500  0.500  0.312
As  0.667  0.333  0.800
O  0.000  0.500  0.312
As  0.333  0.667  0.800
Cl  0.000  0.000  0.000
As  0.667  0.333  0.200
O  0.500  0.500  0.688
O  0.500  0.000  0.312
As  0.333  0.667  0.200
O  0.000  0.500  0.688
O  0.500  0.000  0.688
K  0.000  0.000  0.500

Entry 3:
Material: NaTlS2
Method: DFT, SCAN
State: single point on PBEsol structure

Computed properties:
formation energy from raw total energies = -2.58 eV per formula unit

Cell: 6.492 6.931 6.492 Å, 62.07 90.00 117.93°
Element x y z (fractional)
Na  0.250  0.500  0.250
Na  0.500  0.000  0.500
S  0.875  0.250  0.654
Tl  0.750  0.500  0.750
S  0.654  0.750  0.375
Tl  0.000  0.000  0.000
S  0.375  0.250  0.096
S  0.096  0.750  0.875

Entry 4:
Material: InGaMoAu2
Method: DFT, SCAN
State: single point on PBEsol structure

Computed properties:
formation energy = 0.8867 eV per atom

Cell: 4.715 4.715 4.985 Å, 90.00 90.00 90.00°
Last column: magnetic moment on the atom in μB.
Element x y z (fractional)
In  0.000  0.000  0.500  -0.05
Au  0.500  0.000  0.000  0.01
Ga  0.000  0.000  0.000  0.01
Mo  0.500  0.500  0.500  3.83
Au  0.000  0.500  0.000  0.01